DFT (PBE with a Hubbard U) results for CsBe2VF8 after structural relaxation.

Calculated values
E_tot ... -5.665 eV/atom
D(E_F) ... 0.0 states/eV/cell
Spin magnetization ... 2.0 μB/cell
Theoretical density ... 3.139 g/cm³

Structure (POSCAR):
```
CsBe2VF8
1.0
2.518 1.454 8.526
-2.518 1.454 8.526
0.000 -2.907 8.526
Cs Be V F
1 2 1 8
Direct
0.000 0.000 0.000
0.234 0.234 0.234
0.766 0.766 0.766
0.500 0.500 0.500
0.107 0.733 0.525
0.267 0.475 0.893
0.293 0.293 0.293
0.475 0.893 0.267
0.525 0.107 0.733
0.707 0.707 0.707
0.733 0.525 0.107
0.893 0.267 0.475
```